Entry a
VASP calculation (PBE) on EuEr2Th after structural relaxation.

The structure in CIF format:
```
data_EuEr2Th
_cell_length_a 5.8675
_cell_length_b 5.8675
_cell_length_c 3.8160
_cell_angle_alpha 90.00
_cell_angle_beta 90.00
_cell_angle_gamma 90.00
_symmetry_space_group_name_H-M 'P 4/m m m'
_symmetry_Int_Tables_number 123
_symmetry_space_group_name_Hall '-P 4 2'
loop_
_atom_site_label
_atom_site_fract_x
_atom_site_fract_y
_atom_site_fract_z
Eu1 0.0000 0.0000 0.0000
Er1 0.0000 0.5000 0.5000
Th1 0.5000 0.5000 0.0000
```

---

Entry b
VASP calculation (PBE) on EuEr2Th after structural relaxation.

The structure in CIF format:
```
data_EuEr2Th
_cell_length_a 3.6040
_cell_length_b 3.6040
_cell_length_c 35.0991
_cell_angle_alpha 90.00
_cell_angle_beta 90.00
_cell_angle_gamma 120.00
_symmetry_space_group_name_H-M 'R -3 m'
_symmetry_Int_Tables_number 166
_symmetry_space_group_name_Hall '-R 3 2"'
loop_
_atom_site_label
_atom_site_fract_x
_atom_site_fract_y
_atom_site_fract_z
Eu1 0.0000 0.0000 0.0000
Er1 0.0000 0.0000 0.2452
Th1 0.0000 0.0000 0.5000
```

---

Entry c
VASP calculation (PBE) on EuEr2Th after structural relaxation.

The structure in CIF format:
```
data_EuEr2Th
_cell_length_a 8.0865
_cell_length_b 8.0865
_cell_length_c 8.0865
_cell_angle_alpha 90.00
_cell_angle_beta 90.00
_cell_angle_gamma 90.00
_symmetry_space_group_name_H-M 'F m -3 m'
_symmetry_Int_Tables_number 225
_symmetry_space_group_name_Hall '-F 4 2 3'
loop_
_atom_site_label
_atom_site_fract_x
_atom_site_fract_y
_atom_site_fract_z
Eu1 0.0000 0.0000 0.0000
Er1 0.2500 0.2500 0.2500
Th1 0.0000 0.0000 0.5000
```

---

Top of the stability list: entry b, leading by 10.7 kJ/mol of atoms.

---

Entry a
VASP calculation (PBE) on EuErTl after structural relaxation.

The structure in CIF format:
```
data_EuErTl
_cell_length_a 7.5219
_cell_length_b 7.5219
_cell_length_c 7.5219
_cell_angle_alpha 90.00
_cell_angle_beta 90.00
_cell_angle_gamma 90.00
_symmetry_space_group_name_H-M 'F -4 3 m'
_symmetry_Int_Tables_number 216
_symmetry_space_group_name_Hall 'F -4 2 3'
loop_
_atom_site_label
_atom_site_fract_x
_atom_site_fract_y
_atom_site_fract_z
Eu1 0.0000 0.0000 0.0000
Er1 0.0000 0.0000 0.5000
Tl1 0.2500 0.2500 0.2500
```

---

Entry b
VASP calculation (PBE) on EuErTl after structural relaxation.

The structure in CIF format:
```
data_EuErTl
_cell_length_a 3.7802
_cell_length_b 3.7802
_cell_length_c 13.1757
_cell_angle_alpha 90.00
_cell_angle_beta 90.00
_cell_angle_gamma 90.00
_symmetry_space_group_name_H-M 'I 4 m m'
_symmetry_Int_Tables_number 107
_symmetry_space_group_name_Hall 'I 4 -2'
loop_
_atom_site_label
_atom_site_fract_x
_atom_site_fract_y
_atom_site_fract_z
Eu1 0.0000 0.0000 0.0000
Er1 0.0000 0.0000 0.3026
Tl1 0.0000 0.0000 0.6649
```

---

Entry c
VASP calculation (PBE) on EuErTl after structural relaxation.

The structure in CIF format:
```
data_EuErTl
_cell_length_a 5.3702
_cell_length_b 5.3702
_cell_length_c 3.7571
_cell_angle_alpha 90.00
_cell_angle_beta 90.00
_cell_angle_gamma 120.00
_symmetry_space_group_name_H-M 'P 3 m 1'
_symmetry_Int_Tables_number 156
_symmetry_space_group_name_Hall 'P 3 -2"'
loop_
_atom_site_label
_atom_site_fract_x
_atom_site_fract_y
_atom_site_fract_z
Eu1 0.0000 0.0000 0.0000
Er1 0.3333 0.6667 0.4592
Tl1 0.6667 0.3333 0.5921
```

---

Top of the stability list: entry b, leading by 3.7 kJ/mol of atoms.

---

Entry a
VASP calculation (PBE) on Eu2ErTl after structural relaxation.

The structure in CIF format:
```
data_Eu2ErTl
_cell_length_a 3.6242
_cell_length_b 3.6242
_cell_length_c 36.5973
_cell_angle_alpha 90.00
_cell_angle_beta 90.00
_cell_angle_gamma 120.00
_symmetry_space_group_name_H-M 'R -3 m'
_symmetry_Int_Tables_number 166
_symmetry_space_group_name_Hall '-R 3 2"'
loop_
_atom_site_label
_atom_site_fract_x
_atom_site_fract_y
_atom_site_fract_z
Eu1 0.0000 0.0000 0.0932
Er1 0.0000 0.0000 0.0000
Tl1 0.0000 0.0000 0.5000
```

---

Entry b
VASP calculation (PBE) on Eu2ErTl after structural relaxation.

The structure in CIF format:
```
data_Eu2ErTl
_cell_length_a 3.8200
_cell_length_b 3.8200
_cell_length_c 9.2318
_cell_angle_alpha 90.00
_cell_angle_beta 90.00
_cell_angle_gamma 90.00
_symmetry_space_group_name_H-M 'P 4/m m m'
_symmetry_Int_Tables_number 123
_symmetry_space_group_name_Hall '-P 4 2'
loop_
_atom_site_label
_atom_site_fract_x
_atom_site_fract_y
_atom_site_fract_z
Eu1 0.0000 0.0000 0.2262
Er1 0.5000 0.5000 0.5000
Tl1 0.5000 0.5000 0.0000
```

---

Top of the stability list: entry b, leading by 19.9 kJ/mol of atoms.

---

Entry a
VASP calculation (PBE) on Eu2ErTm after structural relaxation.

The structure in CIF format:
```
data_Eu2ErTm
_cell_length_a 8.1996
_cell_length_b 8.1996
_cell_length_c 8.1996
_cell_angle_alpha 90.00
_cell_angle_beta 90.00
_cell_angle_gamma 90.00
_symmetry_space_group_name_H-M 'F m -3 m'
_symmetry_Int_Tables_number 225
_symmetry_space_group_name_Hall '-F 4 2 3'
loop_
_atom_site_label
_atom_site_fract_x
_atom_site_fract_y
_atom_site_fract_z
Eu1 0.2500 0.2500 0.2500
Er1 0.0000 0.0000 0.0000
Tm1 0.0000 0.0000 0.5000
```

---

Entry b
VASP calculation (PBE) on Eu2ErTm after structural relaxation.

The structure in CIF format:
```
data_Eu2ErTm
_cell_length_a 3.5518
_cell_length_b 3.5518
_cell_length_c 38.3966
_cell_angle_alpha 90.00
_cell_angle_beta 90.00
_cell_angle_gamma 120.00
_symmetry_space_group_name_H-M 'R -3 m'
_symmetry_Int_Tables_number 166
_symmetry_space_group_name_Hall '-R 3 2"'
loop_
_atom_site_label
_atom_site_fract_x
_atom_site_fract_y
_atom_site_fract_z
Eu1 0.0000 0.0000 0.0877
Er1 0.0000 0.0000 0.0000
Tm1 0.0000 0.0000 0.5000
```

---

Top of the stability list: entry a, leading by 7.0 kJ/mol of atoms.

---

Entry a
VASP calculation (PBE) on EuYEr2 after structural relaxation.

The structure in CIF format:
```
data_EuYEr2
_cell_length_a 5.0725
_cell_length_b 5.0725
_cell_length_c 5.0734
_cell_angle_alpha 90.00
_cell_angle_beta 90.00
_cell_angle_gamma 90.00
_symmetry_space_group_name_H-M 'P 4/m m m'
_symmetry_Int_Tables_number 123
_symmetry_space_group_name_Hall '-P 4 2'
loop_
_atom_site_label
_atom_site_fract_x
_atom_site_fract_y
_atom_site_fract_z
Eu1 0.0000 0.0000 0.0000
Y1 0.5000 0.5000 0.0000
Er1 0.0000 0.5000 0.5000
```

---

Entry b
VASP calculation (PBE) on EuYEr2 after structural relaxation.

The structure in CIF format:
```
data_EuYEr2
_cell_length_a 3.5877
_cell_length_b 3.5877
_cell_length_c 10.2884
_cell_angle_alpha 90.00
_cell_angle_beta 90.00
_cell_angle_gamma 90.00
_symmetry_space_group_name_H-M 'P 4/m m m'
_symmetry_Int_Tables_number 123
_symmetry_space_group_name_Hall '-P 4 2'
loop_
_atom_site_label
_atom_site_fract_x
_atom_site_fract_y
_atom_site_fract_z
Eu1 0.0000 0.0000 0.0000
Y1 0.0000 0.0000 0.5000
Er1 0.5000 0.5000 0.2642
```

---

Top of the stability list: entry b, leading by 3.2 kJ/mol of atoms.

---

Entry a
VASP calculation (PBE) on EuY2Er after structural relaxation.

The structure in CIF format:
```
data_EuY2Er
_cell_length_a 8.1355
_cell_length_b 8.1355
_cell_length_c 8.1355
_cell_angle_alpha 90.00
_cell_angle_beta 90.00
_cell_angle_gamma 90.00
_symmetry_space_group_name_H-M 'F m -3 m'
_symmetry_Int_Tables_number 225
_symmetry_space_group_name_Hall '-F 4 2 3'
loop_
_atom_site_label
_atom_site_fract_x
_atom_site_fract_y
_atom_site_fract_z
Eu1 0.0000 0.0000 0.0000
Y1 0.2500 0.2500 0.2500
Er1 0.0000 0.0000 0.5000
```

---

Entry b
VASP calculation (PBE) on EuY2Er after structural relaxation.

The structure in CIF format:
```
data_EuY2Er
_cell_length_a 5.1012
_cell_length_b 5.1012
_cell_length_c 5.0988
_cell_angle_alpha 90.00
_cell_angle_beta 90.00
_cell_angle_gamma 90.00
_symmetry_space_group_name_H-M 'P 4/m m m'
_symmetry_Int_Tables_number 123
_symmetry_space_group_name_Hall '-P 4 2'
loop_
_atom_site_label
_atom_site_fract_x
_atom_site_fract_y
_atom_site_fract_z
Eu1 0.0000 0.0000 0.0000
Y1 0.0000 0.5000 0.5000
Er1 0.5000 0.5000 0.0000
```

---

Top of the stability list: entry b, leading by 5.8 kJ/mol of atoms.